Compound: CoSe2O8
Source: Alexandria via LeMat-Bulk
Functional: GGA+U
Structure: optimized geometry

Lattice parameters (Å, degrees): 6.8696 6.9882 7.5914 70.76 90.00 90.00
Last column: nearest neighbours and their distance in Å.
Atoms (fractional coordinates):
O  0.7149  0.9169  0.7070  1 O 1.31
O  0.9609  0.2834  0.9854  1 Se 1.71
O  0.2149  0.0831  0.7930  1 O 1.31
O  0.4171  0.6438  0.0991  1 Se 1.65
O  0.7851  0.9169  0.2070  1 O 1.31
O  0.0391  0.7166  0.0146  1 Se 1.71
O  0.2851  0.0831  0.2930  1 O 1.31
O  0.7028  0.0571  0.2625  1 O 1.31
O  0.9171  0.3562  0.4009  1 Se 1.65
O  0.5829  0.3562  0.9009  1 Se 1.65
O  0.5391  0.2834  0.4854  1 Se 1.71
O  0.2028  0.9429  0.2375  1 O 1.31
O  0.2972  0.9429  0.7375  1 O 1.31
O  0.4609  0.7166  0.5146  1 Se 1.71
O  0.7972  0.0571  0.7625  1 O 1.31
O  0.0829  0.6438  0.5991  1 Se 1.65
Se  0.2504  0.6286  0.4484  2 O 1.65-1.71
Se  0.7496  0.3714  0.5516  2 O 1.65-1.71
Se  0.7504  0.3714  0.0516  2 O 1.65-1.71
Se  0.2496  0.6286  0.9484  2 O 1.65-1.71
Co  0.5000  0.0000  0.5000  4 O 1.96-2.09
Co  0.0000  0.0000  0.0000  4 O 1.96-2.09

symmetry	No. 14
VASP energy	-5.16	eV per atom